# 1
## TcGeTePb2 (GGA-PBEsol)

Data for an optimized crystal structure of TcGeTePb2.

a b c (Å): 4.869 5.868 5.868
angles (deg): 90.00 90.00 90.00
Fractional positions:
Pb1 0.000 0.000 0.500
Pb2 0.000 0.500 0.000
Ge1 0.500 0.500 0.500
Te1 0.000 0.000 0.000
Tc1 0.500 0.000 0.000

Calculated values
E_form (uncorrected) ... 1.311 eV per atom
Total energy ... -4.235 eV/atom
Space-group type ... P4/mmm, No. 123
DOS(E_F) ... 5.63 states/eV/cell



# 2
## Ge2TePb2 (GGA-PBEsol)

Data for an optimized crystal structure of Ge2TePb2.

a b c (Å): 3.904 3.904 9.054
angles (deg): 102.45 102.45 90.00
Fractional positions:
Pb1 0.393 0.393 0.786
Pb2 0.607 0.607 0.214
Ge1 0.250 0.750 0.500
Ge2 0.750 0.250 0.500
Te1 0.000 0.000 0.000

Calculated values
E_form (uncorrected) ... 0.049 eV per atom
Total energy ... -4.231 eV/atom
Space-group type ... I4/mmm, No. 139
DOS(E_F) ... 2.72 states/eV/cell